# 1
CsKNaCd | GGA-PBE | optimized geometry

abc: 6.6813 6.6813 6.6813
angles: 60.00 60.00 60.00
Sites, in units of the cell vectors:
1 Cs 0.0000 0.0000 0.0000
2 K 0.5000 0.5000 0.5000
3 Na 0.7500 0.7500 0.7500
4 Cd 0.2500 0.2500 0.2500

Space-group type: F-43m, No. 216


# 2
CsK2NaCd | GGA-PBE | optimized geometry

abc: 6.8765 6.8765 7.3522
angles: 90.00 90.00 90.00
Sites, in units of the cell vectors:
1 Cs 0.0000 0.0000 0.0000
2 K 0.0000 0.5000 0.5000
3 K 0.5000 0.0000 0.5000
4 Na 0.5000 0.5000 0.0000
5 Cd 0.0000 0.0000 0.5000

E above lowest polymorph (meV/atom): 65
Space-group type: P4/mmm, No. 123


# 3
CsKNaCd2 | GGA-PBE | optimized geometry

abc: 6.1363 6.1363 6.4259
angles: 90.00 90.00 90.00
Sites, in units of the cell vectors:
1 Cs 0.0000 0.0000 0.0000
2 K 0.5000 0.5000 0.0000
3 Na 0.5000 0.5000 0.5000
4 Cd 0.0000 0.5000 0.5000
5 Cd 0.5000 0.0000 0.5000

Space-group type: P4/mmm, No. 123


# 4
CsKNa2Cd | GGA-PBE | optimized geometry

abc: 6.3231 6.3231 7.1227
angles: 90.00 90.00 90.00
Sites, in units of the cell vectors:
1 Cs 0.0000 0.0000 0.0000
2 K 0.5000 0.5000 0.0000
3 Na 0.0000 0.5000 0.5000
4 Na 0.5000 0.0000 0.5000
5 Cd 0.0000 0.0000 0.5000

E above lowest polymorph (meV/atom): 36
Space-group type: P4/mmm, No. 123


| no. | ΔE_f (meV per atom) | total magnetic moment (μB per atom) |
| --- | --- | --- |
| 1 | 26 | 0.0000 |
| 2 | 98 | 0.0000 |
| 3 | 121 | 0.0000 |
| 4 | 75 | 0.0000 |